The following is a PBE-GGA calculation of an optimized crystal structure of AcPuAl2Ge2, from the Alexandria database.

Structure (POSCAR):
```
AcPuAl2Ge2
1.0
-3.528 -1.655 1.826
3.883 -0.878 1.636
-0.605 7.059 5.228
Al Ge Ac Pu
2 2 1 1
Cartesian
0.970 4.022 5.520
-1.221 0.504 3.169
-1.496 3.704 5.539
1.244 0.822 3.150
0.000 0.000 0.000
-0.303 3.530 2.614
```

Properties
calculated formation energy: -0.47 eV/atom
calculated density: 7.9 g/cm³
crystal system: trigonal